Computed, not measured: an optimized crystal structure of YIn2Fe at the PBE level of DFT.

Values from the calculation:
Energy relative to the elements   0.11 eV per formula unit
Raw total energy   -5.07 eV/atom
Space group   P4mm (99)

The structure in POSCAR format:
```
YIn2Fe
1.0
-3.242 1.110 -0.272
-0.326 -0.114 3.420
2.409 7.150 0.467
Y In Fe
1 2 1
direct
0.000 0.000 0.540 Y
0.000 0.000 0.953 In
0.500 0.500 0.232 In
0.500 0.500 0.775 Fe
```


Computed, not measured: an optimized crystal structure of YIn2Fe at the PBE level of DFT.

Values from the calculation:
Energy relative to the elements   0.19 eV per formula unit
Raw total energy   -5.05 eV/atom
Space group   Imm2 (44)

The structure in POSCAR format:
```
YIn2Fe
1.0
6.973 0.002 0.030
6.240 3.112 0.030
1.416 0.334 4.226
Fe In Y
1 2 1
direct
0.250 0.250 0.250 Fe
0.757 0.757 0.743 In
0.927 0.927 0.073 In
0.566 0.566 0.434 Y
```


Computed, not measured: an optimized crystal structure of YInFe2 at the PBE level of DFT.

Values from the calculation:
Energy relative to the elements   0.17 eV per formula unit
Raw total energy   -6.49 eV/atom
Space group   Amm2 (38)

The structure in POSCAR format:
```
YInFe2
1.0
-2.283 -0.295 -2.819
1.602 -3.728 -0.908
-2.550 -4.024 2.486
Fe Y In
2 1 1
direct
0.500 0.058 0.258 Fe
0.000 0.192 0.991 Fe
0.500 0.770 0.835 Y
0.000 0.480 0.415 In
```


Computed, not measured: an optimized crystal structure of Y2InFe at the PBE level of DFT.

Values from the calculation:
Energy relative to the elements   0.90 eV per formula unit
Raw total energy   -5.81 eV/atom
Space group   I-42d (122)

The structure in POSCAR format:
```
Y2InFe
1.0
7.973 0.000 0.000
0.000 7.973 0.000
3.987 3.987 3.077
Y In Fe
4 2 2
direct
0.182 0.625 0.250 Y
0.875 0.818 0.750 Y
0.568 0.125 0.250 Y
0.375 0.432 0.750 Y
0.750 0.250 0.500 In
0.000 0.000 0.000 In
0.250 0.750 0.500 Fe
0.500 0.500 0.000 Fe
```


Computed, not measured: an optimized crystal structure of YIn2Fe at the PBE level of DFT.

Values from the calculation:
Energy relative to the elements   0.11 eV per formula unit
Raw total energy   -5.07 eV/atom
Space group   Amm2 (38)

The structure in POSCAR format:
```
YIn2Fe
1.0
-1.709 -1.953 3.312
-1.151 -2.755 -2.219
4.464 -4.226 -0.190
Fe In Y
1 2 1
direct
0.500 0.955 0.715 Fe
0.000 0.811 0.003 In
0.500 0.197 0.231 In
0.000 0.537 0.551 Y
```


Computed, not measured: an optimized crystal structure of Y2In2Fe at the PBE level of DFT.

Values from the calculation:
Energy relative to the elements   0.08 eV per formula unit
Raw total energy   -5.36 eV/atom
Space group   P4/mbm (127)

The structure in POSCAR format:
```
Y2In2Fe
1.0
-6.142 -3.696 -0.917
0.219 -2.080 6.917
-2.426 3.734 1.200
In Y Fe
4 4 2
direct
0.358 0.858 0.000 In
0.642 0.142 0.000 In
0.858 0.642 0.000 In
0.142 0.358 0.000 In
0.829 0.329 0.500 Y
0.329 0.171 0.500 Y
0.171 0.671 0.500 Y
0.671 0.829 0.500 Y
0.000 0.000 0.000 Fe
0.500 0.500 0.000 Fe
```


| no. | magnetic moment (μB/cell) |
| --- | --- |
| 1 | 2.05 |
| 2 | 1.43 |
| 3 | 3.44 |
| 4 | 2.17 |
| 5 | 2.01 |
| 6 | 0.71 |